An optimized crystal structure of Sb2PIr. Source: the Alexandria database, functional PBE-GGA.

The structure in extended XYZ format:
```
4
Lattice="-1.566 2.760 -0.958 -2.876 -1.648 -0.047 -1.203 1.890 7.407" Properties=species:S:1:pos:R:3 pbc="T T T"
Ir -0.675 1.060 4.154
Sb -1.118 1.756 6.884
Sb -2.611 1.169 1.900
P -3.046 1.851 4.575
```

***

An optimized crystal structure of Sb2PIr. Source: the Alexandria database, functional PBE-GGA.

The structure in extended XYZ format:
```
4
Lattice="3.108 -3.754 0.000 3.108 3.754 0.000 0.000 0.000 3.349" Properties=species:S:1:pos:R:3 pbc="T T T"
Sb 1.554 1.877 0.000
Sb 1.554 -1.877 0.000
P 3.108 0.000 1.674
Ir 0.000 0.000 1.674
```

***

An optimized crystal structure of Sb2PIr. Source: the Alexandria database, functional PBE-GGA.

The structure in extended XYZ format:
```
4
Lattice="3.146 0.000 0.000 0.000 3.436 0.000 0.000 0.000 7.298" Properties=species:S:1:pos:R:3 pbc="T T T"
Sb 0.000 0.000 5.601
Sb 0.000 0.000 1.697
P 1.573 1.718 3.649
Ir 1.573 1.718 0.000
```

***

An optimized crystal structure of Sb2PIr. Source: the Alexandria database, functional PBE-GGA.

The structure in extended XYZ format:
```
4
Lattice="-2.262 2.262 3.861 2.262 -2.262 3.861 2.262 2.262 -3.861" Properties=species:S:1:pos:R:3 pbc="T T T"
Sb 2.262 0.000 1.931
Sb 0.000 0.000 0.000
Ir 0.000 0.000 3.861
P 0.000 2.262 1.931
```

***

| no. | formation energy (no corrections) (meV/atom) | calculated total energy (eV/cell) |
| --- | --- | --- |
| 1 | 147 | -21.9 |
| 2 | 461 | -20.7 |
| 3 | 337 | -21.2 |
| 4 | 587 | -20.2 |